(1)
Here is GaBi2I after structural relaxation from Alexandria. Energies are from PBE.

Cell and atoms, written as extended XYZ:
```
16
Lattice="7.7779 0.0000 0.0000 0.0000 7.7779 0.0000 0.0000 0.0000 7.7779" Properties=species:S:1:pos:R:3 pbc="T T T"
Ga 0.0000 0.0000 0.0000
Ga 0.0000 3.8890 3.8890
Ga 3.8890 0.0000 3.8890
Ga 3.8890 3.8890 0.0000
Bi 1.9445 1.9445 1.9445
Bi 1.9445 1.9445 5.8335
Bi 1.9445 5.8335 1.9445
Bi 1.9445 5.8335 5.8335
Bi 5.8335 1.9445 1.9445
Bi 5.8335 1.9445 5.8335
Bi 5.8335 5.8335 1.9445
Bi 5.8335 5.8335 5.8335
I 0.0000 0.0000 3.8890
I 0.0000 3.8890 0.0000
I 3.8890 0.0000 0.0000
I 3.8890 3.8890 3.8890
```

The raw formation energy is 1.0 eV per formula unit. The space-group type is No. 225. Its energy above the most stable polymorph in this dataset is 76 kJ/mol of formula units.



(2)
Here is Mg2CrFe after structural relaxation from Alexandria. Energies are from PBE.

Cell and atoms, written as extended XYZ:
```
4
Lattice="2.9531 0.0000 0.0000 0.0000 3.8116 0.0000 0.0000 0.0000 5.9080" Properties=species:S:1:pos:R:3 pbc="T T T"
Mg 0.0000 0.0000 1.4263
Mg 0.0000 0.0000 4.4817
Cr 1.4765 1.9058 2.9540
Fe 1.4765 1.9058 0.0000
```

The space-group type is No. 47. Its energy above the most stable polymorph in this dataset is 98 kJ/mol of formula units.



(3)
Here is Y3Sn2Rh6 after structural relaxation from Alexandria. Energies are from PBE.

Cell and atoms, written as extended XYZ:
```
22
Lattice="-4.7631 4.7631 4.7631 4.7631 -4.7631 4.7631 4.7631 4.7631 -4.7631" Properties=species:S:1:pos:R:3 pbc="T T T"
Y 2.7841 0.0000 0.0000
Y 6.7421 0.0000 0.0000
Y 0.0000 2.7841 0.0000
Y 0.0000 0.0000 2.7841
Y 0.0000 6.7421 0.0000
Y 0.0000 0.0000 6.7421
Sn 2.3816 2.3816 -2.3816
Sn 2.3816 -2.3816 2.3816
Sn -2.3816 2.3816 2.3816
Sn 2.3816 2.3816 2.3816
Rh 4.7631 1.4446 -1.4446
Rh 4.7631 -1.4446 1.4446
Rh 4.7631 1.4446 1.4446
Rh 1.4446 4.7631 -1.4446
Rh 3.3185 3.3185 0.0000
Rh 1.4446 -1.4446 4.7631
Rh 3.3185 0.0000 3.3185
Rh -1.4446 4.7631 1.4446
Rh 1.4446 4.7631 1.4446
Rh -1.4446 1.4446 4.7631
Rh 1.4446 1.4446 4.7631
Rh 0.0000 3.3185 3.3185
```

The space-group type is No. 229. For the total energy, the calculation gives -7.206 eV per atom.



Total magnetic moment list, top to bottom, in μB per formula unit: 0.00; 6.04; 0.00